ThMn2Tc | PBE | optimized geometry

Unit cell a=4.135 b=4.135 c=5.572 alpha=68.22 beta=68.22 gamma=60.00
Positions (direct):
Th: 0.500 0.500 0.500
Mn: 0.694 0.694 0.919
Mn: 0.306 0.306 0.081
Tc: 0.000 0.000 0.000

Symmetry: No. 166
Formation energy from the elements, eV/atom: 0.141
Total magnetic moment, μB/f.u.: 0.00